Here is a relaxed Tc7W crystal from the Alexandria database. Energies are from GGA-PBEsol.

Cell lengths 5.441, 5.441, 5.441 Å; angles 60.00, 60.00, 60.00 degrees
Element x y z (fractional)
Tc  0.000  0.000  0.000
Tc  0.000  0.000  0.500
Tc  0.000  0.500  0.000
Tc  0.000  0.500  0.500
Tc  0.500  0.000  0.000
Tc  0.500  0.000  0.500
Tc  0.500  0.500  0.000
W  0.500  0.500  0.500

The calculation puts the volume at 113.9 Å³/cell. The calculation puts the final energy at -91.86 eV per cell. For the density of states at the Fermi level, the calculation gives 8.0 states/eV/cell.